[1]
Compound: YInNiRu
Source: Alexandria
Functional: PBE
Structure: relaxed

```
YInNiRu
1.0
0.000 3.296 3.296
3.296 0.000 3.296
3.296 3.296 0.000
Y In Ni Ru
1 1 1 1
Direct
0.000 0.000 0.000
0.500 0.500 0.500
0.750 0.750 0.750
0.250 0.250 0.250
```

Calculated values
formation energy	-0.250	eV per atom
raw total energy	-6.3146	eV per atom
DOS at the Fermi energy	1.39	states/eV/f.u.
magnetization	0.0	μB/cell

***

[2]
Compound: Cs2LiHSe
Source: Alexandria
Functional: PBE
Structure: relaxed

```
Cs2LiHSe
1.0
4.988 0.000 0.000
0.009 5.308 0.000
1.327 2.101 8.058
Cs Li H Se
2 1 1 1
Direct
0.000 0.000 0.000
0.125 0.662 0.592
0.388 0.374 0.196
0.200 0.232 0.389
0.540 0.544 0.911
```

Calculated values
raw total energy	-2.7400	eV per atom
DOS at the Fermi energy	0.00	states/eV/f.u.
magnetization	0.0	μB/cell
E above lowest polymorph	104	meV per atom

***

[3]
Compound: TePbW2
Source: Alexandria
Functional: PBE
Structure: relaxed

```
TePbW2
1.0
2.926 -4.708 0.000
2.926 4.708 0.000
-1.888 0.000 3.035
Te Pb W
1 1 2
Direct
0.000 0.000 0.000
0.500 0.500 0.000
0.000 0.500 0.500
0.500 0.000 0.500
```

Calculated values
raw total energy	-6.9005	eV per atom
DOS at the Fermi energy	3.36	states/eV/f.u.
magnetization	0.0	μB/cell
E above lowest polymorph	856	meV per atom

***

Copy entry 2 word for word.
Compound: Cs2LiHSe
Source: Alexandria
Functional: PBE
Structure: relaxed

```
Cs2LiHSe
1.0
4.988 0.000 0.000
0.009 5.308 0.000
1.327 2.101 8.058
Cs Li H Se
2 1 1 1
Direct
0.000 0.000 0.000
0.125 0.662 0.592
0.388 0.374 0.196
0.200 0.232 0.389
0.540 0.544 0.911
```

Calculated values
raw total energy	-2.7400	eV per atom
DOS at the Fermi energy	0.00	states/eV/f.u.
magnetization	0.0	μB/cell
E above lowest polymorph	104	meV per atom

***

Question: Number 2 is which compound?
Answer: Cs2LiHSe

***

Question: Look up the DOS at the Fermi energy of the third one.
Answer: 3.36 states/eV/f.u.